Entry 1:
Entry from the Alexandria database: a relaxed structure of ReTeW2 (PBE-GGA).

calculated density = 16.6 g/cm³
DFT total energy = -9.6408 eV per atom
symmetry = P4/mmm
V = 17.01 Å³/atom
formation energy without anion corrections = 733 meV/atom

abc: 4.6751 4.6751 3.1124
angles: 90.00 90.00 90.00
With the nearest neighbours (Å) after each atom.
Element x y z (fractional)
Re 0.5000 0.0000 0.5000  8 W 2.81, 2 Re 3.11
Te 0.0000 0.5000 0.5000  8 W 2.81, 2 Te 3.11
W 0.0000 0.0000 0.0000  4 Re 2.81, 4 Te 2.81, 2 W 3.11
W 0.5000 0.5000 0.0000  4 Re 2.81, 4 Te 2.81, 2 W 3.11

=====

Entry 2:
Entry from the Alexandria database: a relaxed structure of Nd6Co (PBE-GGA).

calculated density = 6.7 g/cm³
energy relative to the elements = 0.01 eV/atom
DFT total energy = -5.0953 eV per atom
symmetry = Pnma
V = 32.50 Å³/atom

abc: 6.4913 11.3443 12.3559
angles: 90.00 90.00 90.00
With the nearest neighbours (Å) after each atom.
Element x y z (fractional)
Nd 0.7252 0.2500 0.4979  1 Co 2.75
Nd 0.2748 0.7500 0.5021  1 Co 2.75
Nd 0.2252 0.7500 0.0021  1 Co 2.75
Nd 0.7748 0.2500 0.9979  1 Co 2.75
Nd 0.4121 0.2500 0.7564  1 Co 2.75
Nd 0.5879 0.7500 0.2436  1 Co 2.75
Nd 0.9121 0.7500 0.7436  1 Co 2.75
Nd 0.0879 0.2500 0.2564  1 Co 2.75
Nd 0.2488 0.4286 0.4948  1 Co 2.73
Nd 0.7512 0.5714 0.5052  1 Co 2.73
Nd 0.7488 0.5714 0.0052  1 Co 2.73
Nd 0.7512 0.9286 0.5052  1 Co 2.73
Nd 0.2512 0.4286 0.9948  1 Co 2.73
Nd 0.2488 0.0714 0.4948  1 Co 2.73
Nd 0.2512 0.0714 0.9948  1 Co 2.73
Nd 0.7488 0.9286 0.0052  1 Co 2.73
Nd 0.9157 0.4157 0.7517  1 Co 2.76
Nd 0.0843 0.5843 0.2483  1 Co 2.76
Nd 0.4157 0.5843 0.7483  1 Co 2.76
Nd 0.0843 0.9157 0.2483  1 Co 2.76
Nd 0.5843 0.4157 0.2517  1 Co 2.76
Nd 0.9157 0.0843 0.7517  1 Co 2.76
Nd 0.5843 0.0843 0.2517  1 Co 2.76
Nd 0.4157 0.9157 0.7483  1 Co 2.76
Co 0.0854 0.2500 0.6148  6 Nd 2.73-2.76
Co 0.9146 0.7500 0.3852  6 Nd 2.73-2.76
Co 0.5854 0.7500 0.8852  6 Nd 2.73-2.76
Co 0.4146 0.2500 0.1148  6 Nd 2.73-2.76

=====

Entry 3:
Entry from the Alexandria database: a relaxed structure of Na2Sc2Nb (PBE-GGA).

calculated density = 2.7 g/cm³
energy relative to the elements = 0.74 eV/atom
DFT total energy = -4.3311 eV per atom
symmetry = P4/mbm
V = 28.09 Å³/atom

abc: 7.0452 7.0452 5.6585
angles: 90.00 90.00 90.00
With the nearest neighbours (Å) after each atom.
Element x y z (fractional)
Sc 0.3269 0.8269 0.0000  2 Nb 2.61
Sc 0.8269 0.6731 0.0000  2 Nb 2.61
Sc 0.6731 0.1731 0.0000  2 Nb 2.61
Sc 0.1731 0.3269 0.0000  2 Nb 2.61
Na 0.1682 0.6682 0.5000  2 Sc 3.24, 1 Na 3.35
Na 0.6682 0.8318 0.5000  2 Sc 3.24, 1 Na 3.35
Na 0.8318 0.3318 0.5000  2 Sc 3.24, 1 Na 3.35
Na 0.3318 0.1682 0.5000  2 Sc 3.24, 1 Na 3.35
Nb 0.0000 0.0000 0.0000  4 Sc 2.61
Nb 0.5000 0.5000 0.0000  4 Sc 2.61

=====

> Among the records above, which one has the lowest V?

ReTeW2

=====

> Among the records above, which one has the lowest calculated density?

Na2Sc2Nb

=====

> Look up the calculated density of the first one.

16.6 g/cm³

=====

> Which formula does entry 3 have?

Na2Sc2Nb